No. 1
# ZrScRh2 | the Alexandria database | GGA-PBE | optimized geometry
# Space-group type   No. 216
# Calculated formation energy   -0.434 eV/atom
# Energy   -31.318 eV per cell
data_ZrScRh2
_cell_length_a 4.586
_cell_length_b 4.586
_cell_length_c 4.586
_cell_angle_alpha 60.00
_cell_angle_beta 60.00
_cell_angle_gamma 60.00
_space_group_name_H-M_alt 'P 1'
_space_group_IT_number 1
loop_
_space_group_symop_operation_xyz
'x,y,z'
loop_
_atom_site_label
_atom_site_fract_x
_atom_site_fract_y
_atom_site_fract_z
Rh1 0.000 0.000 0.000
Rh2 0.250 0.250 0.250
Sc1 0.500 0.500 0.500
Zr1 0.750 0.750 0.750

No. 2
# Y2HgAu | the Alexandria database | GGA-PBE | optimized geometry
# Space-group type   No. 71
# Calculated formation energy   0.282 eV/atom
# Energy   -15.378 eV per cell
data_Y2HgAu
_cell_length_a 6.910
_cell_length_b 6.910
_cell_length_c 6.910
_cell_angle_alpha 58.27
_cell_angle_beta 151.56
_cell_angle_gamma 130.29
_space_group_name_H-M_alt 'P 1'
_space_group_IT_number 1
loop_
_space_group_symop_operation_xyz
'x,y,z'
loop_
_atom_site_label
_atom_site_fract_x
_atom_site_fract_y
_atom_site_fract_z
Y1 0.000 0.233 0.233
Y2 0.000 0.767 0.767
Hg1 0.000 0.500 0.500
Au1 0.000 0.000 0.000

No. 3
# Sm2CdGe3Pd4 | the Alexandria database | GGA-PBE | optimized geometry
# Space-group type   No. 115
# Calculated formation energy   -0.729 eV/atom
# Energy   -52.264 eV per cell
data_Sm2CdGe3Pd4
_cell_length_a 4.305
_cell_length_b 4.305
_cell_length_c 10.640
_cell_angle_alpha 90.00
_cell_angle_beta 90.00
_cell_angle_gamma 90.00
_space_group_name_H-M_alt 'P 1'
_space_group_IT_number 1
loop_
_space_group_symop_operation_xyz
'x,y,z'
loop_
_atom_site_label
_atom_site_fract_x
_atom_site_fract_y
_atom_site_fract_z
Sm1 0.500 0.000 0.242
Sm2 0.000 0.500 0.758
Cd1 0.500 0.500 0.500
Ge1 0.000 0.000 0.500
Ge2 0.500 0.000 0.875
Ge3 0.000 0.500 0.125
Pd1 0.500 0.500 0.000
Pd2 0.000 0.000 0.000
Pd3 0.500 0.000 0.647
Pd4 0.000 0.500 0.353

No. 4
# Cs2PmZn2Te4 | the Alexandria database | GGA-PBE | optimized geometry
# Space-group type   No. 12
# Energy   -29.638 eV per cell
data_Cs2PmZn2Te4
_cell_length_a 4.819
_cell_length_b 8.818
_cell_length_c 8.740
_cell_angle_alpha 107.86
_cell_angle_beta 106.00
_cell_angle_gamma 90.00
_space_group_name_H-M_alt 'P 1'
_space_group_IT_number 1
loop_
_space_group_symop_operation_xyz
'x,y,z'
loop_
_atom_site_label
_atom_site_fract_x
_atom_site_fract_y
_atom_site_fract_z
Cs1 0.134 0.564 0.267
Cs2 0.866 0.436 0.733
Pm1 0.000 0.000 0.000
Zn1 0.673 0.996 0.346
Zn2 0.327 0.004 0.654
Te1 0.200 0.156 0.400
Te2 0.800 0.844 0.600
Te3 0.517 0.770 0.033
Te4 0.483 0.230 0.967

No. 5
# Li3AcY2S6 | the Alexandria database | GGA-PBE | optimized geometry
# Space-group type   No. 12
# Energy   -69.319 eV per cell
data_Li3AcY2S6
_cell_length_a 7.052
_cell_length_b 7.052
_cell_length_c 6.600
_cell_angle_alpha 99.43
_cell_angle_beta 99.43
_cell_angle_gamma 120.51
_space_group_name_H-M_alt 'P 1'
_space_group_IT_number 1
loop_
_space_group_symop_operation_xyz
'x,y,z'
loop_
_atom_site_label
_atom_site_fract_x
_atom_site_fract_y
_atom_site_fract_z
Li1 0.186 0.814 0.500
Li2 0.814 0.186 0.500
Li3 0.500 0.500 0.500
Ac1 0.000 0.000 0.000
Y1 0.335 0.665 0.000
Y2 0.665 0.335 0.000
S1 0.922 0.569 0.749
S2 0.724 0.724 0.254
S3 0.078 0.431 0.251
S4 0.569 0.922 0.749
S5 0.276 0.276 0.746
S6 0.431 0.078 0.251

No. 6
# SrMn2CrSb | the Alexandria database | GGA-PBE | optimized geometry
# Space-group type   No. 123
# Energy   -28.883 eV per cell
data_SrMn2CrSb
_cell_length_a 5.065
_cell_length_b 5.065
_cell_length_c 4.973
_cell_angle_alpha 90.00
_cell_angle_beta 90.00
_cell_angle_gamma 90.00
_space_group_name_H-M_alt 'P 1'
_space_group_IT_number 1
loop_
_space_group_symop_operation_xyz
'x,y,z'
loop_
_atom_site_label
_atom_site_fract_x
_atom_site_fract_y
_atom_site_fract_z
Sb1 0.000 0.000 0.000
Mn1 0.000 0.500 0.000
Mn2 0.500 0.000 0.000
Cr1 0.000 0.000 0.500
Sr1 0.500 0.500 0.500

No. 7
# Ba3NO | the Alexandria database | GGA-PBE | optimized geometry
# Space-group type   No. 221
# Energy   -21.445 eV per cell
# Distance to the lowest polymorph of the same formula   0.6878 eV per atom
data_Ba3NO
_cell_length_a 5.242
_cell_length_b 5.242
_cell_length_c 5.242
_cell_angle_alpha 90.00
_cell_angle_beta 90.00
_cell_angle_gamma 90.00
_space_group_name_H-M_alt 'P 1'
_space_group_IT_number 1
loop_
_space_group_symop_operation_xyz
'x,y,z'
loop_
_atom_site_label
_atom_site_fract_x
_atom_site_fract_y
_atom_site_fract_z
Ba1 0.000 0.500 0.000
Ba2 0.000 0.000 0.500
Ba3 0.500 0.000 0.000
O1 0.000 0.000 0.000
N1 0.500 0.500 0.500

No. 8
# Ba2HfSiP | the Alexandria database | GGA-PBE | optimized geometry
# Space-group type   No. 123
# Energy   -22.092 eV per cell
data_Ba2HfSiP
_cell_length_a 6.257
_cell_length_b 4.453
_cell_length_c 6.257
_cell_angle_alpha 90.00
_cell_angle_beta 90.00
_cell_angle_gamma 90.00
_space_group_name_H-M_alt 'P 1'
_space_group_IT_number 1
loop_
_space_group_symop_operation_xyz
'x,y,z'
loop_
_atom_site_label
_atom_site_fract_x
_atom_site_fract_y
_atom_site_fract_z
P1 0.000 0.000 0.000
Si1 0.000 0.500 0.000
Hf1 0.500 0.500 0.500
Ba1 0.000 0.000 0.500
Ba2 0.500 0.000 0.000